# 1
# AcTb7Ho2 | Alexandria | PBE | relaxed
data_AcTb7Ho2
_chemical_formula_sum 'Ac2 Tb14 Ho4'
_space_group_name_H-M_alt 'I m m m'
_space_group_IT_number 71
_space_group_name_Hall '-I 2 2'
_cell_length_a 5.4865
_cell_length_b 7.1173
_cell_length_c 16.9113
_cell_angle_alpha 90.00
_cell_angle_beta 90.00
_cell_angle_gamma 90.00
loop_
_atom_site_label
_atom_site_fract_x
_atom_site_fract_y
_atom_site_fract_z
_atom_site_occupancy
Ac1 0.0000 0.0000 0.0000 1
Tb1 0.0000 0.0000 0.2033 1
Tb2 0.0000 0.2454 0.3887 1
Tb3 0.0000 0.5000 0.0000 1
Ho1 0.0000 0.5000 0.1994 1
# D(E_F)   33.4 states/eV/cell
# Energy above the lowest structure with this stoichiometry   0.00 eV per formula unit
# Final energy   -4.514 eV/atom
# Formation enthalpy at 0 K   0.5 eV/f.u.

---

# 2
# TlSiHSe | Alexandria | PBE | relaxed
data_TlSiHSe
_chemical_formula_sum 'Tl1 Si1 H1 Se1'
_space_group_name_H-M_alt 'P 1'
_space_group_IT_number 1
_space_group_name_Hall 'P 1'
_cell_length_a 3.5492
_cell_length_b 5.0046
_cell_length_c 5.8578
_cell_angle_alpha 73.89
_cell_angle_beta 89.86
_cell_angle_gamma 89.98
loop_
_atom_site_label
_atom_site_fract_x
_atom_site_fract_y
_atom_site_fract_z
_atom_site_occupancy
Tl1 0.0000 0.0000 0.0000 1
Si1 0.4968 0.1853 0.3834 1
H1 0.4964 0.9473 0.6143 1
Se1 0.9962 0.4538 0.4833 1
# D(E_F)   0.0 states/eV/cell
# Energy above the lowest structure with this stoichiometry   0.00 eV per formula unit
# Final energy   -3.704 eV/atom

---

# 3
# Sm2NpPaN6 | Alexandria | PBE | relaxed
data_Sm2NpPaN6
_chemical_formula_sum 'Sm4 Np2 Pa2 N12'
_space_group_name_H-M_alt 'P 1 21/c 1'
_space_group_IT_number 14
_space_group_name_Hall '-P 2ybc'
_cell_length_a 5.8348
_cell_length_b 6.0229
_cell_length_c 10.2324
_cell_angle_alpha 90.00
_cell_angle_beta 124.69
_cell_angle_gamma 90.00
loop_
_atom_site_label
_atom_site_fract_x
_atom_site_fract_y
_atom_site_fract_z
_atom_site_occupancy
Sm1 0.2366 0.0496 0.2519 1
Np1 0.0000 0.0000 0.5000 1
Pa1 0.5000 0.0000 0.0000 1
N1 0.1357 0.2067 0.9327 1
N2 0.2247 0.6895 0.9431 1
N3 0.3522 0.0471 0.7382 1
# Final energy   -9.532 eV/atom
# Formation energy from raw total energies   -1.3489 eV/atom